Record 1
First-principles (GGA-PBEsol) data for a relaxed Zn2NiW crystal, as listed in the Alexandria database.

The excess energy over the best structure of this formula in the dataset comes out at 0.095 eV/atom. The formation energy is 0.25 eV per atom.

It has space group I-4m2 (No. 119), with a = 3.795 Å, b = 3.795 Å, c = 7.282 Å, α = 90.00°, β = 90.00° and γ = 90.00°. Symmetry generates all atoms from Zn at (0.000, 0.000, 0.000), Zn at (0.000, 0.500, 0.250), Ni at (0.000, 0.000, 0.500) and W at (0.000, 0.500, 0.750).

Record 2
First-principles (GGA-PBEsol) data for a relaxed ZnNi2W crystal, as listed in the Alexandria database.

The formation energy is -0.14 eV per atom.

It has space group P4/mmm (No. 123), with a = 2.647 Å, b = 2.647 Å, c = 6.973 Å, α = 90.00°, β = 90.00° and γ = 90.00°. Symmetry generates all atoms from Zn at (0.000, 0.000, 0.000), Ni at (0.500, 0.500, 0.239) and W at (0.000, 0.000, 0.500).

Record 3
First-principles (GGA-PBEsol) data for a relaxed ZnNi2W crystal, as listed in the Alexandria database.

The formation energy is 0.23 eV per atom.

It has space group P4/mmm (No. 123), with a = 3.792 Å, b = 3.792 Å, c = 3.475 Å, α = 90.00°, β = 90.00° and γ = 90.00°. Symmetry generates all atoms from Zn at (0.000, 0.000, 0.000), Ni at (0.000, 0.500, 0.500) and W at (0.500, 0.500, 0.000).

Record 4
First-principles (GGA-PBEsol) data for a relaxed ZnNiW2 crystal, as listed in the Alexandria database.

The formation energy is 0.23 eV per atom.

It has space group Cm (No. 8), with a = 8.956 Å, b = 2.625 Å, c = 4.771 Å, α = 90.00°, β = 98.60° and γ = 90.00°. Symmetry generates all atoms from Zn at (0.000, 0.000, 0.000), Ni at (0.257, 0.000, 0.772), W at (0.019, 0.500, 0.516) and W at (0.256, 0.500, 0.254).

Record 5
First-principles (GGA-PBEsol) data for a relaxed ZnNi6W crystal, as listed in the Alexandria database.

The formation energy is -0.17 eV per atom.

It has space group Cmmm (No. 65), with a = 7.092 Å, b = 10.047 Å, c = 10.055 Å, α = 90.00°, β = 90.00° and γ = 90.00°. Symmetry generates all atoms from Zn at (0.000, 0.000, 0.246), Zn at (0.000, 0.251, 0.000), Ni at (0.000, 0.000, 0.000), Ni at (0.000, 0.000, 0.500), Ni at (0.000, 0.250, 0.252), Ni at (0.000, 0.500, 0.000), Ni at (0.000, 0.500, 0.500), Ni at (0.248, 0.376, 0.126), Ni at (0.250, 0.125, 0.376), W at (0.000, 0.253, 0.500) and W at (0.000, 0.500, 0.241).

Record 6
First-principles (GGA-PBEsol) data for a relaxed ZrNiW crystal, as listed in the Alexandria database.

The excess energy over the best structure of this formula in the dataset comes out at 1.106 eV/atom. The formation energy is 1.36 eV per atom.

It has space group F-43m (No. 216), with a = 6.093 Å, b = 6.093 Å, c = 6.093 Å, α = 90.00°, β = 90.00° and γ = 90.00°. Symmetry generates all atoms from Zr at (0.000, 0.000, 0.000), Ni at (0.250, 0.250, 0.750) and W at (0.250, 0.250, 0.250).

In order of appearance, DFT total energy = -5.53 -7.07 -6.70 -8.61 -6.71 -8.32 eV/atom.